Record 1
Material: K2TlInI4
Method: DFT, PBE-GGA
State: relaxed

Spin magnetization ... 0.0 μB per cell
Formation energy (no corrections) ... -785 kJ/mol of formula units
N(E_F) ... 0.000 states/eV/f.u.

a = 5.0370 Å, b = 8.7310 Å, c = 8.7224 Å
α = 70.56°, β = 90.00°, γ = 90.00°
Element x y z (fractional)
In 0.0000 0.5000 0.5000
Tl 0.5000 0.5000 0.0000
I 0.0000 0.7488 0.7489
I 0.5000 0.2512 0.7484
I 0.0000 0.2512 0.2511
I 0.5000 0.7488 0.2516
K 0.0000 0.0000 0.0000
K 0.5000 0.0000 0.5000

Record 2
Material: KTl2In3I6
Method: DFT, PBE-GGA
State: relaxed

Spin magnetization ... 0.0 μB per cell
Formation energy (no corrections) ... -804 kJ/mol of formula units
N(E_F) ... 0.000 states/eV/f.u.

a = 4.9949 Å, b = 9.9949 Å, c = 11.1776 Å
α = 102.88°, β = 102.91°, γ = 90.00°
Element x y z (fractional)
In 0.1659 0.8314 0.3318
In 0.5000 0.5000 0.0000
In 0.8341 0.1686 0.6682
I 0.3335 0.4161 0.6670
I 0.3326 0.9200 0.6651
I 0.0008 0.7491 0.0016
I 0.9992 0.2509 0.9984
I 0.6674 0.0800 0.3349
I 0.6665 0.5839 0.3330
Tl 0.1664 0.3320 0.3328
Tl 0.8336 0.6680 0.6672
K 0.5000 0.0000 0.0000

Record 3
Material: KTmIn2I6
Method: DFT, PBE-GGA
State: relaxed

Spin magnetization ... 0.0 μB per cell
Formation energy (no corrections) ... -987 kJ/mol of formula units
N(E_F) ... 0.000 states/eV/f.u.

a = 8.5728 Å, b = 8.5708 Å, c = 8.9512 Å
α = 61.38°, β = 61.37°, γ = 59.98°
Element x y z (fractional)
I 0.6846 0.1250 0.7728
I 0.1252 0.4176 0.7727
I 0.4176 0.6845 0.7726
I 0.9783 0.5608 0.2426
I 0.5606 0.2184 0.2427
I 0.2183 0.9783 0.2427
In 0.0119 0.0120 0.9644
In 0.5206 0.5205 0.4387
K 0.8185 0.8186 0.5442
Tm 0.3260 0.3260 0.0219

Record 4
Material: KUIn2I8
Method: DFT, PBE-GGA
State: relaxed

Spin magnetization ... 1.0 μB per cell
Formation energy (no corrections) ... -880 kJ/mol of formula units
N(E_F) ... 1.946 states/eV/f.u.

a = 8.1119 Å, b = 7.5241 Å, c = 9.9840 Å
α = 89.91°, β = 90.06°, γ = 89.67°
Each line ends with the local moment (μB).
Element x y z (fractional)
K 0.0000 0.0000 0.5000  0.00
In 0.4999 0.5003 0.2651  -0.03
In 0.5001 0.4997 0.7349  -0.03
I 0.3039 0.2072 0.0005  -0.06
I 0.8606 0.2386 0.2071  -0.04
I 0.1386 0.7609 0.2080  -0.04
I 0.3436 0.2743 0.5000  -0.02
I 0.8614 0.2391 0.7920  -0.04
I 0.6961 0.7928 0.9995  -0.06
I 0.6564 0.7257 0.5000  -0.02
I 0.1394 0.7614 0.7929  -0.04
U 0.0000 0.0000 0.0000  1.45

Record 5
Material: KUInI6
Method: DFT, PBE-GGA
State: relaxed

Spin magnetization ... 4.0 μB per cell
Formation energy (no corrections) ... -781 kJ/mol of formula units
N(E_F) ... 10.716 states/eV/f.u.

a = 8.4856 Å, b = 8.4856 Å, c = 14.6664 Å
α = 90.00°, β = 90.00°, γ = 120.00°
Each line ends with the local moment (μB).
Element x y z (fractional)
I 0.3798 0.3430 0.3685  -0.03
I 0.0368 0.3798 0.6315  -0.03
I 0.6202 0.6570 0.6315  -0.03
I 0.6570 0.6202 0.1315  -0.03
I 0.9632 0.6202 0.3685  -0.03
I 0.3798 0.0368 0.1315  -0.03
I 0.0368 0.6570 0.8685  -0.03
I 0.6202 0.9632 0.8685  -0.03
I 0.3430 0.9632 0.6315  -0.03
I 0.6570 0.0368 0.3685  -0.03
I 0.3430 0.3798 0.8685  -0.03
I 0.9632 0.3430 0.1315  -0.03
U 0.6667 0.3333 0.2500  2.17
U 0.3333 0.6667 0.7500  2.17
In 0.6667 0.3333 0.7500  -0.01
In 0.3333 0.6667 0.2500  -0.01
K 0.0000 0.0000 0.5000  0.00
K 0.0000 0.0000 0.0000  0.00

Record 6
Material: KYIn2I6
Method: DFT, PBE-GGA
State: relaxed

Spin magnetization ... 0.0 μB per cell
Formation energy (no corrections) ... -1001 kJ/mol of formula units
N(E_F) ... 0.000 states/eV/f.u.

a = 8.5920 Å, b = 8.5901 Å, c = 8.9902 Å
α = 61.45°, β = 61.43°, γ = 59.98°
Element x y z (fractional)
I 0.1257 0.4158 0.7701
I 0.6887 0.1255 0.7701
I 0.5642 0.2180 0.2435
I 0.4157 0.6885 0.7700
I 0.2181 0.9742 0.2435
I 0.9741 0.5644 0.2434
K 0.8180 0.8181 0.5458
Y 0.3257 0.3257 0.0229
In 0.5200 0.5198 0.4404
In 0.0116 0.0116 0.9653

Record 7
Material: KZnInI4
Method: DFT, PBE-GGA
State: relaxed

Spin magnetization ... 0.0 μB per cell
Formation energy (no corrections) ... -544 kJ/mol of formula units
N(E_F) ... 0.000 states/eV/f.u.

a = 7.9943 Å, b = 8.1765 Å, c = 9.5329 Å
α = 90.00°, β = 107.86°, γ = 90.00°
Element x y z (fractional)
I 0.5809 0.2500 0.8838
I 0.9933 0.5009 0.7633
I 0.4062 0.7500 0.5811
I 0.9933 0.9991 0.7633
I 0.0067 0.0009 0.2367
I 0.0067 0.4991 0.2367
I 0.5938 0.2500 0.4189
I 0.4191 0.7500 0.1162
K 0.2278 0.2500 0.5575
K 0.7722 0.7500 0.4425
Zn 0.2312 0.7500 0.2985
Zn 0.7688 0.2500 0.7015
In 0.7546 0.7500 0.9362
In 0.2454 0.2500 0.0638

Record 8
Material: LaInI3
Method: DFT, PBE-GGA
State: relaxed

Spin magnetization ... 0.0 μB per cell
ΔE to the lowest computed polymorph ... 0.00 kcal/mol of atoms
Formation energy (no corrections) ... -401 kJ/mol of formula units
N(E_F) ... 8.457 states/eV/f.u.

a = 6.2730 Å, b = 6.2730 Å, c = 6.2730 Å
α = 90.00°, β = 90.00°, γ = 90.00°
Element x y z (fractional)
In 0.5000 0.5000 0.5000
I 0.5000 0.0000 0.0000
I 0.0000 0.5000 0.0000
I 0.0000 0.0000 0.5000
La 0.0000 0.0000 0.0000

Record 9
Material: La5In4I
Method: DFT, PBE-GGA
State: relaxed

Spin magnetization ... 0.0 μB per cell
Formation energy (no corrections) ... -581 kJ/mol of formula units
N(E_F) ... 8.153 states/eV/f.u.

a = 3.7590 Å, b = 3.7590 Å, c = 22.0388 Å
α = 90.00°, β = 90.00°, γ = 90.00°
Element x y z (fractional)
La 0.5000 0.5000 0.3023
La 0.5000 0.5000 0.8924
La 0.5000 0.5000 0.1076
La 0.5000 0.5000 0.5000
La 0.5000 0.5000 0.6977
In 0.0000 0.0000 0.2007
In 0.0000 0.0000 0.5991
In 0.0000 0.0000 0.7993
In 0.0000 0.0000 0.4009
I 0.0000 0.0000 0.0000

Record 10
Material: La7InI12
Method: DFT, PBE-GGA
State: relaxed

Spin magnetization ... 0.0 μB per cell
Formation energy (no corrections) ... -2522 kJ/mol of formula units
N(E_F) ... 12.737 states/eV/f.u.

a = 10.2557 Å, b = 10.2557 Å, c = 10.2557 Å
α = 108.26°, β = 108.26°, γ = 108.26°
Element x y z (fractional)
I 0.9222 0.3062 0.7699
I 0.0778 0.6938 0.2301
I 0.2301 0.0778 0.6938
I 0.6027 0.5224 0.8432
I 0.7699 0.9222 0.3062
I 0.6938 0.2301 0.0778
I 0.5224 0.8432 0.6027
I 0.3062 0.7699 0.9222
I 0.4776 0.1568 0.3973
I 0.3973 0.4776 0.1568
I 0.1568 0.3973 0.4776
I 0.8432 0.6027 0.5224
La 0.8820 0.9540 0.6622
La 0.9540 0.6622 0.8820
La 0.5000 0.5000 0.5000
La 0.1180 0.0460 0.3378
La 0.6622 0.8820 0.9540
La 0.3378 0.1180 0.0460
La 0.0460 0.3378 0.1180
In 0.0000 0.0000 0.0000

Record 11
Material: La5InI5
Method: DFT, PBE-GGA
State: relaxed

Spin magnetization ... 0.0 μB per cell
Formation energy (no corrections) ... -1092 kJ/mol of formula units
N(E_F) ... 8.184 states/eV/f.u.

a = 6.4208 Å, b = 7.7811 Å, c = 9.3416 Å
α = 107.10°, β = 89.97°, γ = 114.58°
Element x y z (fractional)
La 0.1646 0.3258 0.3188
La 0.5000 0.0000 0.0000
La 0.8354 0.6742 0.6812
La 0.1786 0.3564 0.8561
La 0.8214 0.6436 0.1439
I 0.0000 0.0000 0.5000
I 0.3402 0.6835 0.6553
I 0.6598 0.3165 0.3447
I 0.3503 0.7008 0.1981
I 0.6497 0.2992 0.8019
In 0.0000 0.0000 0.0000

Record 12
Material: LaIn2I5
Method: DFT, PBE-GGA
State: relaxed

Spin magnetization ... 0.0 μB per cell
Formation energy (no corrections) ... -771 kJ/mol of formula units
N(E_F) ... 0.000 states/eV/f.u.

a = 9.2031 Å, b = 9.8668 Å, c = 14.3696 Å
α = 90.00°, β = 90.00°, γ = 90.00°
Element x y z (fractional)
I 0.9384 0.7500 0.4960
I 0.6291 0.2500 0.6843
I 0.6678 0.4538 0.4169
I 0.1678 0.9538 0.0831
I 0.4384 0.2500 0.0040
I 0.5616 0.7500 0.9960
I 0.3322 0.5462 0.5831
I 0.1703 0.2500 0.7863
I 0.0616 0.2500 0.5040
I 0.8322 0.0462 0.9169
I 0.8709 0.2500 0.1843
I 0.1678 0.5462 0.0831
I 0.1291 0.7500 0.8157
I 0.8297 0.7500 0.2137
I 0.3709 0.7500 0.3157
I 0.3297 0.2500 0.2863
I 0.6703 0.7500 0.7137
I 0.6678 0.0462 0.4169
I 0.8322 0.4538 0.9169
I 0.3322 0.9538 0.5831
In 0.9571 0.9941 0.6778
In 0.5429 0.9941 0.1778
In 0.0429 0.0059 0.3222
In 0.9571 0.5059 0.6778
In 0.0429 0.4941 0.3222
In 0.4571 0.4941 0.8222
In 0.5429 0.5059 0.1778
In 0.4571 0.0059 0.8222
La 0.4165 0.2500 0.5041
La 0.9165 0.7500 0.9959
La 0.0835 0.2500 0.0041
La 0.5835 0.7500 0.4959

Record 13
Material: La6InI8
Method: DFT, PBE-GGA
State: relaxed

Spin magnetization ... 0.0 μB per cell
Formation energy (no corrections) ... -1729 kJ/mol of formula units
N(E_F) ... 9.002 states/eV/f.u.

a = 7.8183 Å, b = 7.8183 Å, c = 12.6275 Å
α = 71.97°, β = 71.97°, γ = 60.00°
Element x y z (fractional)
I 0.2230 0.5574 0.3292
I 0.3333 0.3333 0.0001
I 0.7770 0.4426 0.6708
I 0.5574 0.8904 0.3292
I 0.4426 0.1096 0.6708
I 0.1096 0.7770 0.6708
I 0.8904 0.2230 0.3292
I 0.6667 0.6667 0.9999
La 0.6198 0.2754 0.1573
La 0.7246 0.0526 0.8427
La 0.3802 0.7246 0.8427
La 0.2754 0.9474 0.1573
La 0.9474 0.6198 0.1573
La 0.0526 0.3802 0.8427
In 0.0000 0.0000 0.0000

Record 14
Material: La4In2I5
Method: DFT, PBE-GGA
State: relaxed

Spin magnetization ... 0.0 μB per cell
Formation energy (no corrections) ... -1043 kJ/mol of formula units
N(E_F) ... 7.249 states/eV/f.u.

a = 4.2751 Å, b = 9.2672 Å, c = 13.1276 Å
α = 84.21°, β = 99.37°, γ = 90.00°
Element x y z (fractional)
In 0.4443 0.5450 0.8885
In 0.5557 0.4550 0.1115
La 0.6671 0.5576 0.3343
La 0.9811 0.2779 0.9622
La 0.3329 0.4424 0.6657
La 0.0189 0.7221 0.0378
I 0.1390 0.8162 0.2781
I 0.8610 0.1838 0.7219
I 0.2164 0.3155 0.4329
I 0.5000 0.0000 0.0000
I 0.7836 0.6845 0.5671

Record 15
Material: La4In2I
Method: DFT, PBE-GGA
State: relaxed

Spin magnetization ... 0.0 μB per cell
Formation energy (no corrections) ... -133 kJ/mol of formula units
N(E_F) ... 8.656 states/eV/f.u.

a = 5.9598 Å, b = 5.9598 Å, c = 8.9074 Å
α = 70.46°, β = 70.46°, γ = 90.00°
Element x y z (fractional)
La 0.8051 0.8051 0.3897
La 0.5000 0.0000 0.0000
La 0.0000 0.5000 0.0000
La 0.1949 0.1949 0.6103
In 0.3963 0.3963 0.2074
In 0.6037 0.6037 0.7926
I 0.0000 0.0000 0.0000

Record 16
Material: La4InI3
Method: DFT, PBE-GGA
State: relaxed

Spin magnetization ... 0.0 μB per cell
Formation energy (no corrections) ... -679 kJ/mol of formula units
N(E_F) ... 7.400 states/eV/f.u.

a = 6.4928 Å, b = 6.4928 Å, c = 6.4928 Å
α = 90.00°, β = 90.00°, γ = 90.00°
Element x y z (fractional)
I 0.0000 0.5000 0.5000
I 0.5000 0.0000 0.5000
I 0.5000 0.5000 0.0000
La 0.0000 0.5000 0.0000
La 0.5000 0.5000 0.5000
La 0.5000 0.0000 0.0000
La 0.0000 0.0000 0.5000
In 0.0000 0.0000 0.0000

Record 17
Material: LaInI3
Method: DFT, PBE-GGA
State: relaxed

Spin magnetization ... 1.2 μB per cell
ΔE to the lowest computed polymorph ... 13.11 kcal/mol of atoms
Formation energy (no corrections) ... -127 kJ/mol of formula units
N(E_F) ... 9.952 states/eV/f.u.

a = 6.0292 Å, b = 6.0292 Å, c = 6.0292 Å
α = 90.00°, β = 90.00°, γ = 90.00°
Each line ends with the local moment (μB).
Element x y z (fractional)
I 0.0000 0.0000 0.5000  0.01
I 0.5000 0.0000 0.0000  0.01
I 0.0000 0.5000 0.0000  0.01
La 0.5000 0.5000 0.5000  -0.70
In 0.0000 0.0000 0.0000  0.01

Record 18
Material: La4InI4
Method: DFT, PBE-GGA
State: relaxed

Spin magnetization ... 0.0 μB per cell
Formation energy (no corrections) ... -825 kJ/mol of formula units
N(E_F) ... 7.394 states/eV/f.u.

a = 5.6784 Å, b = 5.6784 Å, c = 11.7444 Å
α = 90.01°, β = 76.01°, γ = 60.00°
Element x y z (fractional)
I 0.6920 0.4042 0.2118
I 0.3080 0.5958 0.7882
I 0.0950 0.2022 0.6078
I 0.9050 0.7978 0.3922
La 0.3090 0.0958 0.2862
La 0.8913 0.3043 0.9131
La 0.6910 0.9042 0.7138
La 0.1087 0.6957 0.0869
In 0.5000 0.0000 0.0000

Record 19
Material: LiLaIn2I
Method: DFT, PBE-GGA
State: relaxed

Spin magnetization ... 0.0 μB per cell
Formation energy (no corrections) ... 35 kJ/mol of formula units
N(E_F) ... 3.906 states/eV/f.u.

a = 6.2240 Å, b = 6.2240 Å, c = 4.6857 Å
α = 90.00°, β = 90.00°, γ = 90.00°
Element x y z (fractional)
In 0.0000 0.5000 0.0000
In 0.5000 0.0000 0.0000
I 0.0000 0.0000 0.0000
La 0.5000 0.5000 0.5000
Li 0.0000 0.0000 0.5000

Record 20
Material: La2InIN
Method: DFT, PBE-GGA
State: relaxed

Spin magnetization ... 0.0 μB per cell
Formation energy (no corrections) ... 113 kJ/mol of formula units
N(E_F) ... 3.879 states/eV/f.u.

a = 6.0920 Å, b = 4.1678 Å, c = 6.0920 Å
α = 90.00°, β = 90.00°, γ = 90.00°
Element x y z (fractional)
N 0.0000 0.5000 0.0000
I 0.5000 0.5000 0.5000
In 0.0000 0.0000 0.0000
La 0.5000 0.0000 0.0000
La 0.0000 0.0000 0.5000

Record 21
Material: LaInI2O
Method: DFT, PBE-GGA
State: relaxed

Spin magnetization ... 0.5 μB per cell
ΔE to the lowest computed polymorph ... 17.51 kcal/mol of atoms
Formation energy (no corrections) ... -345 kJ/mol of formula units
N(E_F) ... 5.269 states/eV/f.u.

a = 6.2527 Å, b = 6.2527 Å, c = 4.0293 Å
α = 90.00°, β = 90.00°, γ = 90.00°
Each line ends with the local moment (μB).
Element x y z (fractional)
O 0.0000 0.0000 0.5000  0.00
La 0.5000 0.5000 0.5000  0.32
I 0.5000 0.0000 0.0000  0.00
I 0.0000 0.5000 0.0000  0.00
In 0.0000 0.0000 0.0000  0.00

no.,E (eV per atom)
1,-2.70
2,-2.64
3,-3.06
4,-3.28
5,-3.61
6,-3.27
7,-2.42
8,-3.29
9,-4.32
10,-4.10
11,-4.22
12,-3.27
13,-4.17
14,-3.98
15,-4.02
16,-4.27
17,-2.73
18,-4.13
19,-2.70
20,-4.26
21,-3.86